{"formula": "TiAsH3", "functional": "GGA-PBE", "state": "optimized geometry", "crystal_system": "cubic", "de_polymorph_mev_per_atom": 0, "total_energy_ev_per_atom": -4.36, "cell": [[3.5546, 0.0000, 0.0000], [0.0000, 3.5546, 0.0000], [0.0000, 0.0000, 3.5546]], "species": ["H", "H", "H", "As", "Ti"], "frac_coords": [[0.0000, 0.5000, 0.0000], [0.0000, 0.0000, 0.5000], [0.5000, 0.0000, 0.0000], [0.5000, 0.5000, 0.5000], [0.0000, 0.0000, 0.0000]]}